No. 1
Entry from Alexandria via LeMat-Bulk: a relaxed TaNb2Fe crystal (PBE-GGA).

- Energy relative to the elements: 1.9 eV per formula unit
- Energy above the lowest structure with this stoichiometry: 503 meV per atom
- Density: 10.1 g cm⁻³

CIF file:
```
data_TaNb2Fe
_chemical_formula_sum 'Ta4 Nb8 Fe4'
_symmetry_space_group_name_H-M 'I -4 2 d'
_symmetry_Int_Tables_number 122
_symmetry_space_group_name_Hall 'I -4 2bw'
_cell_length_a 7.229
_cell_length_b 7.229
_cell_length_c 5.305
_cell_angle_alpha 90.00
_cell_angle_beta 90.00
_cell_angle_gamma 90.00
loop_
_atom_site_label
_atom_site_type_symbol
_atom_site_fract_x
_atom_site_fract_y
_atom_site_fract_z
Ta1 Ta 0.000 0.000 0.000
Nb1 Nb 0.212 0.250 0.625
Fe1 Fe 0.000 0.000 0.500
```


No. 2
Entry from Alexandria via LeMat-Bulk: a relaxed NaAuSeBr2 crystal (PBE-GGA).

- Energy above the lowest structure with this stoichiometry: 662 meV per atom
- Density: 4.9 g cm⁻³
- Formation energy from raw total energies: 0.370 eV/atom

CIF file:
```
data_NaAuSeBr2
_chemical_formula_sum 'Na1 Au1 Se1 Br2'
_symmetry_space_group_name_H-M 'P 4/m m m'
_symmetry_Int_Tables_number 123
_symmetry_space_group_name_Hall '-P 4 2'
_cell_length_a 5.376
_cell_length_b 5.376
_cell_length_c 5.403
_cell_angle_alpha 90.00
_cell_angle_beta 90.00
_cell_angle_gamma 90.00
loop_
_atom_site_label
_atom_site_type_symbol
_atom_site_fract_x
_atom_site_fract_y
_atom_site_fract_z
Na1 Na 0.000 0.000 0.000
Au1 Au 0.500 0.500 0.500
Se1 Se 0.000 0.000 0.500
Br1 Br 0.000 0.500 0.000
```


No. 3
Entry from Alexandria via LeMat-Bulk: a relaxed ThNi3P3 crystal (PBE-GGA).

- Energy relative to the elements: -4.8 eV per formula unit
- Energy above the lowest structure with this stoichiometry: 26 meV per atom
- Density: 7.3 g cm⁻³

CIF file:
```
data_ThNi3P3
_chemical_formula_sum 'Th2 Ni6 P6'
_symmetry_space_group_name_H-M 'P m -3 n'
_symmetry_Int_Tables_number 223
_symmetry_space_group_name_Hall '-P 4n 2 3'
_cell_length_a 6.101
_cell_length_b 6.101
_cell_length_c 6.101
_cell_angle_alpha 90.00
_cell_angle_beta 90.00
_cell_angle_gamma 90.00
loop_
_atom_site_label
_atom_site_type_symbol
_atom_site_fract_x
_atom_site_fract_y
_atom_site_fract_z
Th1 Th 0.000 0.000 0.000
Ni1 Ni 0.000 0.250 0.500
P1 P 0.000 0.500 0.250
```


No. 4
Entry from Alexandria via LeMat-Bulk: a relaxed Y2TiMo crystal (PBE-GGA).

- Energy relative to the elements: 3.3 eV per formula unit
- Energy above the lowest structure with this stoichiometry: 344 meV per atom
- Density: 5.6 g cm⁻³

CIF file:
```
data_Y2TiMo
_chemical_formula_sum 'Y8 Ti4 Mo4'
_symmetry_space_group_name_H-M 'I -4 2 d'
_symmetry_Int_Tables_number 122
_symmetry_space_group_name_Hall 'I -4 2bw'
_cell_length_a 7.905
_cell_length_b 7.905
_cell_length_c 6.061
_cell_angle_alpha 90.00
_cell_angle_beta 90.00
_cell_angle_gamma 90.00
loop_
_atom_site_label
_atom_site_type_symbol
_atom_site_fract_x
_atom_site_fract_y
_atom_site_fract_z
Y1 Y 0.238 0.750 0.125
Ti1 Ti 0.000 0.000 0.500
Mo1 Mo 0.000 0.000 0.000
```


No. 5
Entry from Alexandria via LeMat-Bulk: a relaxed CaTaCl3 crystal (PBE-GGA).

- Energy above the lowest structure with this stoichiometry: 0 meV per atom
- Density: 4.5 g cm⁻³
- Formation energy from raw total energies: -0.519 eV/atom

CIF file:
```
data_CaTaCl3
_chemical_formula_sum 'Ca1 Ta1 Cl3'
_symmetry_space_group_name_H-M 'P m -3 m'
_symmetry_Int_Tables_number 221
_symmetry_space_group_name_Hall '-P 4 2 3'
_cell_length_a 4.940
_cell_length_b 4.940
_cell_length_c 4.940
_cell_angle_alpha 90.00
_cell_angle_beta 90.00
_cell_angle_gamma 90.00
loop_
_atom_site_label
_atom_site_type_symbol
_atom_site_fract_x
_atom_site_fract_y
_atom_site_fract_z
Ca1 Ca 0.000 0.000 0.000
Ta1 Ta 0.500 0.500 0.500
Cl1 Cl 0.000 0.500 0.500
```


No. 6
Entry from Alexandria via LeMat-Bulk: a relaxed AlAsSe2 crystal (PBE-GGA).

- Energy above the lowest structure with this stoichiometry: 170 meV per atom
- Density: 5.2 g cm⁻³
- Formation energy from raw total energies: -0.141 eV/atom

CIF file:
```
data_AlAsSe2
_chemical_formula_sum 'Al2 As2 Se4'
_symmetry_space_group_name_H-M 'I 4/m m m'
_symmetry_Int_Tables_number 139
_symmetry_space_group_name_Hall '-I 4 2'
_cell_length_a 5.437
_cell_length_b 5.437
_cell_length_c 5.656
_cell_angle_alpha 90.00
_cell_angle_beta 90.00
_cell_angle_gamma 90.00
loop_
_atom_site_label
_atom_site_type_symbol
_atom_site_fract_x
_atom_site_fract_y
_atom_site_fract_z
Al1 Al 0.000 0.000 0.000
As1 As 0.000 0.000 0.500
Se1 Se 0.000 0.500 0.000
```